A plane-wave DFT calculation with PBE was carried out for a geometry-optimized SmGa12Cu6 structure.

Unit cell a=7.135 b=7.135 c=7.135 alpha=104.42 beta=104.42 gamma=104.42
Fractional positions:
Sm (0.000, 0.000, 0.000)
Ga (0.888, 0.112, 0.500)
Ga (0.856, 0.603, 0.603)
Ga (0.603, 0.603, 0.856)
Ga (0.397, 0.144, 0.397)
Ga (0.397, 0.397, 0.144)
Ga (0.144, 0.397, 0.397)
Ga (0.112, 0.500, 0.888)
Ga (0.500, 0.888, 0.112)
Ga (0.112, 0.888, 0.500)
Ga (0.888, 0.500, 0.112)
Ga (0.500, 0.112, 0.888)
Ga (0.603, 0.856, 0.603)
Cu (0.715, 0.287, 0.287)
Cu (0.287, 0.287, 0.715)
Cu (0.287, 0.715, 0.287)
Cu (0.713, 0.713, 0.285)
Cu (0.285, 0.713, 0.713)
Cu (0.713, 0.285, 0.713)

Calculated values
* energy of formation from the pure elements: -1.61 eV/f.u.
* energy: -67.23 eV per formula unit